This record from Alexandria via LeMat-Bulk describes Sc3BiB after structural relaxation. The functional is GGA-PBE.

```
Sc3BiB
1.0
-1.0744 -1.2792 3.5589
-0.2716 -3.6641 -1.3990
7.6223 -1.2693 1.8450
Bi B Sc
1 1 3
Cartesian
0.7792 -0.1298 0.1886
3.8971 -3.2327 2.1861
3.0771 -2.3671 0.0782
5.4798 -0.9125 1.3264
2.6756 -1.1746 2.5571
```

Properties
Its relative energy among the computed polymorphs is 641 meV per atom. Its space group is P4mm, No. 99. The crystal system is tetragonal. For the formation energy, the calculation gives 0.0750 eV/atom. The final energy is -5.84 eV/atom.